1.
ZrIn2Te: relaxed, GGA-PBE.

Calculated values
Density of states at the Fermi level: 0.638 states/eV per atom
Formation energy without anion corrections: -0.181 eV/atom
E_tot: -17.89 eV/f.u.

CIF file:
```
data_ZrIn2Te
_symmetry_space_group_name_H-M 'C 1 m 1'
_symmetry_Int_Tables_number 8
_cell_length_a 10.5053
_cell_length_b 3.6087
_cell_length_c 5.3847
_cell_angle_alpha 90.00
_cell_angle_beta 98.99
_cell_angle_gamma 90.00
loop_
_symmetry_equiv_pos_as_xyz
'x,y,z'
'x,-y,z'
'x+1/2,y+1/2,z'
'x+1/2,-y+1/2,z'
loop_
_atom_site_label
_atom_site_type_symbol
_atom_site_fract_x
_atom_site_fract_y
_atom_site_fract_z
Zr1 Zr 0.0000 0.0000 0.0000
In1 In 0.2424 0.0000 0.7140
In2 In 0.4883 0.0000 0.4948
Te1 Te 0.2210 0.5000 0.1741
```

***

2.
ZrIn2Te: relaxed, GGA-PBE.

Calculated values
Density of states at the Fermi level: 1.057 states/eV per atom
Formation energy without anion corrections: 0.026 eV/atom
E_tot: -17.06 eV/f.u.

CIF file:
```
data_ZrIn2Te
_symmetry_space_group_name_H-M 'P 4/m m m'
_symmetry_Int_Tables_number 123
_symmetry_space_group_name_Hall '-P 4 2'
_cell_length_a 3.2108
_cell_length_b 3.2108
_cell_length_c 10.0795
_cell_angle_alpha 90.00
_cell_angle_beta 90.00
_cell_angle_gamma 90.00
loop_
_atom_site_label
_atom_site_type_symbol
_atom_site_fract_x
_atom_site_fract_y
_atom_site_fract_z
Zr1 Zr 0.0000 0.0000 0.0000
In1 In 0.5000 0.5000 0.2124
Te1 Te 0.0000 0.0000 0.5000
```

***

3.
ZrInTe: relaxed, GGA-PBE.

Calculated values
Density of states at the Fermi level: 0.545 states/eV per atom
Formation energy without anion corrections: -0.551 eV/atom
E_tot: -16.08 eV/f.u.

CIF file:
```
data_ZrInTe
_symmetry_space_group_name_H-M 'I 4/m m m'
_symmetry_Int_Tables_number 139
_symmetry_space_group_name_Hall '-I 4 2'
_cell_length_a 4.0694
_cell_length_b 4.0694
_cell_length_c 17.6492
_cell_angle_alpha 90.00
_cell_angle_beta 90.00
_cell_angle_gamma 90.00
loop_
_atom_site_label
_atom_site_type_symbol
_atom_site_fract_x
_atom_site_fract_y
_atom_site_fract_z
Zr1 Zr 0.0000 0.0000 0.1336
In1 In 0.0000 0.5000 0.0000
Te1 Te 0.0000 0.0000 0.3099
```

***

4.
Zr2InTe: relaxed, GGA-PBE.

Calculated values
Density of states at the Fermi level: 0.902 states/eV per atom
Formation energy without anion corrections: -0.367 eV/atom
E_tot: -24.44 eV/f.u.

CIF file:
```
data_Zr2InTe
_symmetry_space_group_name_H-M 'C 1 m 1'
_symmetry_Int_Tables_number 8
_cell_length_a 10.8895
_cell_length_b 3.4816
_cell_length_c 5.0504
_cell_angle_alpha 90.00
_cell_angle_beta 102.43
_cell_angle_gamma 90.00
loop_
_symmetry_equiv_pos_as_xyz
'x,y,z'
'x,-y,z'
'x+1/2,y+1/2,z'
'x+1/2,-y+1/2,z'
loop_
_atom_site_label
_atom_site_type_symbol
_atom_site_fract_x
_atom_site_fract_y
_atom_site_fract_z
Zr1 Zr 0.0000 0.0000 0.0000
Zr2 Zr 0.2170 0.0000 0.5965
In1 In 0.2408 0.5000 0.1041
Te1 Te 0.4890 0.0000 0.5031
```

***

5.
Zr2InTe: relaxed, GGA-PBE.

Calculated values
Density of states at the Fermi level: 0.991 states/eV per atom
Formation energy without anion corrections: -0.387 eV/atom
E_tot: -24.52 eV/f.u.

CIF file:
```
data_Zr2InTe
_symmetry_space_group_name_H-M 'P 4 m m'
_symmetry_Int_Tables_number 99
_cell_length_a 3.9314
_cell_length_b 3.9314
_cell_length_c 6.1362
_cell_angle_alpha 90.00
_cell_angle_beta 90.00
_cell_angle_gamma 90.00
loop_
_symmetry_equiv_pos_as_xyz
'x,y,z'
'-y,x,z'
'-x,-y,z'
'y,-x,z'
'-x,y,z'
'y,x,z'
'x,-y,z'
'-y,-x,z'
loop_
_atom_site_label
_atom_site_type_symbol
_atom_site_fract_x
_atom_site_fract_y
_atom_site_fract_z
Zr1 Zr 0.0000 0.0000 0.0000
Zr2 Zr 0.5000 0.5000 0.2862
In1 In 0.0000 0.0000 0.4804
Te1 Te 0.5000 0.5000 0.8010
```

***

6.
Zr2InTe: relaxed, GGA-PBE.

Calculated values
Density of states at the Fermi level: 1.047 states/eV per atom
Formation energy without anion corrections: 0.105 eV/atom
E_tot: -22.56 eV/f.u.

CIF file:
```
data_Zr2InTe
_symmetry_space_group_name_H-M 'F -4 3 m'
_symmetry_Int_Tables_number 216
_symmetry_space_group_name_Hall 'F -4 2 3'
_cell_length_a 7.2785
_cell_length_b 7.2785
_cell_length_c 7.2785
_cell_angle_alpha 90.00
_cell_angle_beta 90.00
_cell_angle_gamma 90.00
loop_
_atom_site_label
_atom_site_type_symbol
_atom_site_fract_x
_atom_site_fract_y
_atom_site_fract_z
Zr1 Zr 0.0000 0.0000 0.0000
Zr2 Zr 0.2500 0.2500 0.2500
In1 In 0.0000 0.0000 0.5000
Te1 Te 0.2500 0.2500 0.7500
```

***

7.
ZrIn2Te: relaxed, GGA-PBE.

Calculated values
Density of states at the Fermi level: 0.584 states/eV per atom
Formation energy without anion corrections: -0.274 eV/atom
E_tot: -18.26 eV/f.u.

CIF file:
```
data_ZrIn2Te
_symmetry_space_group_name_H-M 'P m m 2'
_symmetry_Int_Tables_number 25
_cell_length_a 3.8662
_cell_length_b 3.8977
_cell_length_c 6.6193
_cell_angle_alpha 90.00
_cell_angle_beta 90.00
_cell_angle_gamma 90.00
loop_
_symmetry_equiv_pos_as_xyz
'x,y,z'
'-x,-y,z'
'-x,y,z'
'x,-y,z'
loop_
_atom_site_label
_atom_site_type_symbol
_atom_site_fract_x
_atom_site_fract_y
_atom_site_fract_z
Zr1 Zr 0.0000 0.0000 0.0000
In1 In 0.0000 0.0000 0.5066
In2 In 0.5000 0.5000 0.7357
Te1 Te 0.5000 0.5000 0.1979
```

***

8.
Zr2InTe: relaxed, GGA-PBE.

Calculated values
Density of states at the Fermi level: 1.147 states/eV per atom
Formation energy without anion corrections: -0.310 eV/atom
E_tot: -24.22 eV/f.u.

CIF file:
```
data_Zr2InTe
_symmetry_space_group_name_H-M 'R -3 m'
_symmetry_Int_Tables_number 166
_symmetry_space_group_name_Hall '-R 3 2"'
_cell_length_a 3.5424
_cell_length_b 3.5424
_cell_length_c 26.6903
_cell_angle_alpha 90.00
_cell_angle_beta 90.00
_cell_angle_gamma 120.00
loop_
_atom_site_label
_atom_site_type_symbol
_atom_site_fract_x
_atom_site_fract_y
_atom_site_fract_z
Zr1 Zr 0.0000 0.0000 0.2456
In1 In 0.0000 0.0000 0.0000
Te1 Te 0.0000 0.0000 0.5000
```

***

9.
ZrInTe: relaxed, GGA-PBE.

Calculated values
Density of states at the Fermi level: 1.590 states/eV per atom
Formation energy without anion corrections: 0.028 eV/atom
E_tot: -14.34 eV/f.u.

CIF file:
```
data_ZrInTe
_symmetry_space_group_name_H-M 'F -4 3 m'
_symmetry_Int_Tables_number 216
_symmetry_space_group_name_Hall 'F -4 2 3'
_cell_length_a 7.0101
_cell_length_b 7.0101
_cell_length_c 7.0101
_cell_angle_alpha 90.00
_cell_angle_beta 90.00
_cell_angle_gamma 90.00
loop_
_atom_site_label
_atom_site_type_symbol
_atom_site_fract_x
_atom_site_fract_y
_atom_site_fract_z
Zr1 Zr 0.0000 0.0000 0.0000
In1 In 0.2500 0.2500 0.7500
Te1 Te 0.2500 0.2500 0.2500
```

***

10.
ZrInTe: relaxed, GGA-PBE.

Calculated values
Density of states at the Fermi level: 0.845 states/eV per atom
Formation energy without anion corrections: -0.338 eV/atom
E_tot: -15.44 eV/f.u.

CIF file:
```
data_ZrInTe
_symmetry_space_group_name_H-M 'P 3 m 1'
_symmetry_Int_Tables_number 156
_cell_length_a 3.6604
_cell_length_b 3.6604
_cell_length_c 6.9249
_cell_angle_alpha 90.00
_cell_angle_beta 90.00
_cell_angle_gamma 120.00
loop_
_symmetry_equiv_pos_as_xyz
'x,y,z'
'-y,x-y,z'
'-x+y,-x,z'
'-y,-x,z'
'-x+y,y,z'
'x,x-y,z'
loop_
_atom_site_label
_atom_site_type_symbol
_atom_site_fract_x
_atom_site_fract_y
_atom_site_fract_z
Zr1 Zr 0.0000 0.0000 0.0000
In1 In 0.6667 0.3333 0.3277
Te1 Te 0.3333 0.6667 0.7217
```

***

11.
Zr2InTe: relaxed, GGA-PBE.

Calculated values
Density of states at the Fermi level: 0.688 states/eV per atom
Formation energy without anion corrections: -0.293 eV/atom
E_tot: -24.15 eV/f.u.

CIF file:
```
data_Zr2InTe
_symmetry_space_group_name_H-M 'P m m m'
_symmetry_Int_Tables_number 47
_cell_length_a 4.1999
_cell_length_b 4.2074
_cell_length_c 5.2265
_cell_angle_alpha 90.00
_cell_angle_beta 90.00
_cell_angle_gamma 90.00
loop_
_symmetry_equiv_pos_as_xyz
'x,y,z'
'-x,-y,-z'
'-x,-y,z'
'x,y,-z'
'x,-y,-z'
'-x,y,z'
'-x,y,-z'
'x,-y,z'
loop_
_atom_site_label
_atom_site_type_symbol
_atom_site_fract_x
_atom_site_fract_y
_atom_site_fract_z
Zr1 Zr 0.0000 0.0000 0.0000
Zr2 Zr 0.5000 0.0000 0.5000
In1 In 0.0000 0.5000 0.5000
Te1 Te 0.5000 0.5000 0.0000
```

***

12.
Zr2InTe: relaxed, GGA-PBE.

Calculated values
Density of states at the Fermi level: 1.224 states/eV per atom
Formation energy without anion corrections: -0.259 eV/atom
E_tot: -24.01 eV/f.u.

CIF file:
```
data_Zr2InTe
_symmetry_space_group_name_H-M 'F m -3 m'
_symmetry_Int_Tables_number 225
_symmetry_space_group_name_Hall '-F 4 2 3'
_cell_length_a 7.1466
_cell_length_b 7.1466
_cell_length_c 7.1466
_cell_angle_alpha 90.00
_cell_angle_beta 90.00
_cell_angle_gamma 90.00
loop_
_atom_site_label
_atom_site_type_symbol
_atom_site_fract_x
_atom_site_fract_y
_atom_site_fract_z
Zr1 Zr 0.2500 0.2500 0.2500
In1 In 0.0000 0.0000 0.0000
Te1 Te 0.0000 0.0000 0.5000
```